Compound: Al5Rh4
Source: Alexandria
Functional: PBE
Structure: relaxed Values from VASP.

Results
As for the space group: P6_3/mcm (193). For the total energy, the calculation gives -6.1569 eV per atom. As for the crystal system: hexagonal. For the formation energy, the calculation gives -0.810 eV/atom.

Quantum ESPRESSO input file:
```
&SYSTEM
  ibrav = 0, nat = 18, ntyp = 2
/
ATOMIC_SPECIES
Al 26.98 Al.upf
Rh 102.91 Rh.upf
ATOMIC_POSITIONS crystal
Al 0.000 0.286 0.250
Al 0.000 0.714 0.750
Al 0.286 0.000 0.250
Al 0.286 0.286 0.750
Al 0.333 0.667 0.000
Al 0.333 0.667 0.500
Al 0.667 0.333 0.000
Al 0.667 0.333 0.500
Al 0.714 0.000 0.750
Al 0.714 0.714 0.250
Rh 0.000 0.000 0.000
Rh 0.000 0.000 0.500
Rh 0.000 0.385 0.750
Rh 0.000 0.615 0.250
Rh 0.385 0.000 0.750
Rh 0.385 0.385 0.250
Rh 0.615 0.000 0.250
Rh 0.615 0.615 0.750
CELL_PARAMETERS angstrom
7.448 0.000 0.000
-3.724 6.450 0.000
0.000 0.000 5.371
```

---

Compound: Al7Rh5
Source: Alexandria
Functional: PBE
Structure: relaxed Values from VASP.

Results
As for the space group: Pm (6). For the total energy, the calculation gives -5.9094 eV per atom. As for the crystal system: monoclinic. For the formation energy, the calculation gives -0.663 eV/atom.

Quantum ESPRESSO input file:
```
&SYSTEM
  ibrav = 0, nat = 12, ntyp = 2
/
ATOMIC_SPECIES
Al 26.98 Al.upf
Rh 102.91 Rh.upf
ATOMIC_POSITIONS crystal
Al 0.000 0.000 0.000
Al 0.016 0.000 0.382
Al 0.248 0.500 0.179
Al 0.266 0.500 0.811
Al 0.504 0.000 0.343
Al 0.554 0.000 0.676
Al 0.719 0.500 0.156
Rh 0.014 0.000 0.692
Rh 0.293 0.500 0.499
Rh 0.458 0.000 0.016
Rh 0.747 0.500 0.475
Rh 0.762 0.500 0.858
CELL_PARAMETERS angstrom
7.291 0.000 0.000
0.000 2.951 0.000
-0.472 0.000 8.174
```

---

Compound: Al5Rh7
Source: Alexandria
Functional: PBE
Structure: relaxed Values from VASP.

Results
As for the space group: Pm (6). For the total energy, the calculation gives -6.6358 eV per atom. As for the crystal system: monoclinic. For the formation energy, the calculation gives -0.788 eV/atom.

Quantum ESPRESSO input file:
```
&SYSTEM
  ibrav = 0, nat = 12, ntyp = 2
/
ATOMIC_SPECIES
Al 26.98 Al.upf
Rh 102.91 Rh.upf
ATOMIC_POSITIONS crystal
Al 0.000 0.000 0.000
Al 0.076 0.500 0.301
Al 0.158 0.000 0.639
Al 0.498 0.000 0.997
Al 0.574 0.500 0.303
Rh 0.245 0.500 0.983
Rh 0.328 0.000 0.312
Rh 0.401 0.500 0.611
Rh 0.676 0.000 0.702
Rh 0.747 0.500 0.989
Rh 0.827 0.000 0.313
Rh 0.901 0.500 0.609
CELL_PARAMETERS angstrom
5.864 0.000 0.000
0.000 4.274 0.000
-1.465 0.000 6.661
```

---

Compound: Al7Rh5
Source: Alexandria
Functional: PBE
Structure: relaxed Values from VASP.

Results
As for the space group: Pm (6). For the total energy, the calculation gives -5.6694 eV per atom. As for the crystal system: monoclinic. For the formation energy, the calculation gives -0.423 eV/atom.

Quantum ESPRESSO input file:
```
&SYSTEM
  ibrav = 0, nat = 12, ntyp = 2
/
ATOMIC_SPECIES
Al 26.98 Al.upf
Rh 102.91 Rh.upf
ATOMIC_POSITIONS crystal
Al 0.000 0.000 0.000
Al 0.005 0.000 0.482
Al 0.164 0.500 0.822
Al 0.334 0.000 0.650
Al 0.502 0.500 0.999
Al 0.518 0.500 0.477
Al 0.672 0.000 0.815
Rh 0.175 0.500 0.330
Rh 0.338 0.000 0.147
Rh 0.679 0.000 0.328
Rh 0.835 0.500 0.652
Rh 0.839 0.500 0.148
CELL_PARAMETERS angstrom
4.862 0.000 0.000
0.000 2.860 0.000
-0.034 0.000 12.743
```

---

Compound: Al4Rh5
Source: Alexandria
Functional: PBE
Structure: relaxed Values from VASP.

Results
As for the space group: P6_3/mcm (193). For the total energy, the calculation gives -6.5432 eV per atom. As for the crystal system: hexagonal. For the formation energy, the calculation gives -0.796 eV/atom.

Quantum ESPRESSO input file:
```
&SYSTEM
  ibrav = 0, nat = 18, ntyp = 2
/
ATOMIC_SPECIES
Al 26.98 Al.upf
Rh 102.91 Rh.upf
ATOMIC_POSITIONS crystal
Al 0.000 0.000 0.000
Al 0.000 0.000 0.500
Al 0.000 0.381 0.250
Al 0.000 0.619 0.750
Al 0.381 0.000 0.250
Al 0.381 0.381 0.750
Al 0.619 0.000 0.750
Al 0.619 0.619 0.250
Rh 0.000 0.286 0.750
Rh 0.000 0.714 0.250
Rh 0.286 0.000 0.750
Rh 0.286 0.286 0.250
Rh 0.333 0.667 0.000
Rh 0.333 0.667 0.500
Rh 0.667 0.333 0.000
Rh 0.667 0.333 0.500
Rh 0.714 0.000 0.250
Rh 0.714 0.714 0.750
CELL_PARAMETERS angstrom
7.388 0.000 0.000
-3.694 6.398 0.000
0.000 0.000 5.356
```

---

Compound: Al4Rh3
Source: Alexandria
Functional: PBE
Structure: relaxed Values from VASP.

Results
As for the space group: R-3m (166). For the total energy, the calculation gives -6.2100 eV per atom. As for the crystal system: trigonal. For the formation energy, the calculation gives -0.921 eV/atom.

Quantum ESPRESSO input file:
```
&SYSTEM
  ibrav = 0, nat = 7, ntyp = 2
/
ATOMIC_SPECIES
Al 26.98 Al.upf
Rh 102.91 Rh.upf
ATOMIC_POSITIONS crystal
Al 0.118 0.118 0.118
Al 0.371 0.371 0.371
Al 0.629 0.629 0.629
Al 0.882 0.882 0.882
Rh 0.248 0.248 0.248
Rh 0.500 0.500 0.500
Rh 0.752 0.752 0.752
CELL_PARAMETERS angstrom
2.111 1.219 6.775
-2.111 1.219 6.775
0.000 -2.437 6.775
```

---

Compound: Al4Rh
Source: Alexandria
Functional: PBE
Structure: relaxed Values from VASP.

Results
As for the space group: C2/c (15). For the total energy, the calculation gives -4.9463 eV per atom. As for the crystal system: monoclinic. For the formation energy, the calculation gives -0.482 eV/atom.

Quantum ESPRESSO input file:
```
&SYSTEM
  ibrav = 0, nat = 30, ntyp = 2
/
ATOMIC_SPECIES
Al 26.98 Al.upf
Rh 102.91 Rh.upf
ATOMIC_POSITIONS crystal
Al 0.000 0.500 0.500
Al 0.021 0.454 0.846
Al 0.062 0.866 0.048
Al 0.129 0.871 0.750
Al 0.134 0.938 0.452
Al 0.233 0.305 0.400
Al 0.295 0.656 0.903
Al 0.305 0.233 0.900
Al 0.344 0.705 0.597
Al 0.353 0.462 0.276
Al 0.454 0.021 0.346
Al 0.462 0.353 0.776
Al 0.500 0.000 0.000
Al 0.538 0.647 0.224
Al 0.546 0.979 0.654
Al 0.647 0.538 0.724
Al 0.656 0.295 0.403
Al 0.695 0.767 0.100
Al 0.705 0.344 0.097
Al 0.767 0.695 0.600
Al 0.866 0.062 0.548
Al 0.871 0.129 0.250
Al 0.938 0.134 0.952
Al 0.979 0.546 0.154
Rh 0.129 0.280 0.609
Rh 0.269 0.731 0.250
Rh 0.280 0.129 0.109
Rh 0.720 0.871 0.891
Rh 0.731 0.269 0.750
Rh 0.871 0.720 0.391
CELL_PARAMETERS angstrom
6.273 -6.034 0.000
6.273 6.034 0.000
-6.060 0.000 6.473
```

---

Compound: Al7Rh5
Source: Alexandria
Functional: PBE
Structure: relaxed Values from VASP.

Results
As for the space group: P2 (3). For the total energy, the calculation gives -6.0196 eV per atom. As for the crystal system: monoclinic. For the formation energy, the calculation gives -0.773 eV/atom.

Quantum ESPRESSO input file:
```
&SYSTEM
  ibrav = 0, nat = 12, ntyp = 2
/
ATOMIC_SPECIES
Al 26.98 Al.upf
Rh 102.91 Rh.upf
ATOMIC_POSITIONS crystal
Al 0.000 0.000 0.000
Al 0.000 0.125 0.500
Al 0.000 0.335 0.000
Al 0.000 0.665 0.000
Al 0.500 0.320 0.500
Al 0.500 0.679 0.500
Al 0.500 0.874 0.000
Rh 0.000 0.435 0.500
Rh 0.000 0.791 0.500
Rh 0.500 0.208 0.000
Rh 0.500 0.564 0.000
Rh 0.500 0.999 0.500
CELL_PARAMETERS angstrom
4.765 0.000 0.000
0.000 8.269 0.000
-1.940 0.000 4.357
```

---

Compound: Al3Rh4
Source: Alexandria
Functional: PBE
Structure: relaxed Values from VASP.

Results
As for the space group: R3 (146). For the total energy, the calculation gives -6.4501 eV per atom. As for the crystal system: trigonal. For the formation energy, the calculation gives -0.645 eV/atom.

Quantum ESPRESSO input file:
```
&SYSTEM
  ibrav = 0, nat = 7, ntyp = 2
/
ATOMIC_SPECIES
Al 26.98 Al.upf
Rh 102.91 Rh.upf
ATOMIC_POSITIONS crystal
Al 0.146 0.585 0.269
Al 0.269 0.146 0.585
Al 0.585 0.269 0.146
Rh 0.024 0.024 0.024
Rh 0.423 0.714 0.836
Rh 0.714 0.836 0.423
Rh 0.836 0.423 0.714
CELL_PARAMETERS angstrom
3.632 2.097 2.164
-3.632 2.097 2.164
0.000 -4.194 2.164
```

---

Compound: Al5Rh7
Source: Alexandria
Functional: PBE
Structure: relaxed Values from VASP.

Results
As for the space group: C222 (21). For the total energy, the calculation gives -6.4713 eV per atom. As for the crystal system: orthorhombic. For the formation energy, the calculation gives -0.624 eV/atom.

Quantum ESPRESSO input file:
```
&SYSTEM
  ibrav = 0, nat = 12, ntyp = 2
/
ATOMIC_SPECIES
Al 26.98 Al.upf
Rh 102.91 Rh.upf
ATOMIC_POSITIONS crystal
Al 0.000 0.000 0.000
Al 0.000 0.500 0.833
Al 0.500 0.000 0.167
Al 0.500 0.500 0.330
Al 0.500 0.500 0.670
Rh 0.000 0.000 0.326
Rh 0.000 0.000 0.674
Rh 0.000 0.500 0.157
Rh 0.000 0.500 0.510
Rh 0.500 0.000 0.490
Rh 0.500 0.000 0.843
Rh 0.500 0.500 0.000
CELL_PARAMETERS angstrom
2.646 -4.028 0.000
2.646 4.028 0.000
0.000 0.000 7.926
```